Material: FeTc2HgAu
Method: DFT, PBE
State: relaxed

Calculated values
Total moment = 2.6 Bohr magnetons per cell
Calculated formation energy = 1188 meV per atom
Space-group type = No. 123

```
FeTc2HgAu
1.0
4.411 0.000 0.000
0.000 4.887 0.000
0.000 0.000 4.411
Fe Tc Hg Au
1 2 1 1
Direct
0.000 0.000 0.000
0.000 0.000 0.500
0.500 0.000 0.000
0.000 0.500 0.000
0.500 0.500 0.500
```